PrYNi | PBE | optimized geometry

abc: 12.2108 3.7763 8.3270
angles: 90.00 126.44 90.00
With the nearest neighbours (Å) after each atom.
Space group C2/m (No. 12)
Symmetry-distinct sites (fractional):
Pr 0.1690 0.0000 0.0815 (multiplicity 4)  3 Ni 2.85-3.15
Y 0.0840 0.5000 0.3841 (multiplicity 4)  4 Ni 2.83-2.97
Ni 0.1223 0.0000 0.6669 (multiplicity 4)  1 Ni 2.60, 2 Y 2.83, 2 Pr 2.85

Values from the calculation:
Magnetization in μB/atom: 0.000
DOS at the Fermi energy in states/eV per atom: 1.07
Excess energy over the best structure of this formula in the dataset in eV per atom: 0.001
Formation energy in kJ/mol of formula units: -67


Pr3YNi | PBE | optimized geometry

abc: 5.5141 5.5141 5.5141
angles: 90.00 90.00 90.00
With the nearest neighbours (Å) after each atom.
Space group Pm-3m (No. 221)
Symmetry-distinct sites (fractional):
Pr 0.0000 0.0000 0.5000 (multiplicity 3)  2 Ni 2.76
Y 0.5000 0.5000 0.5000 (multiplicity 1)  12 Pr 3.90
Ni 0.0000 0.0000 0.0000 (multiplicity 1)  6 Pr 2.76

Values from the calculation:
Magnetization in μB/atom: 0.115
DOS at the Fermi energy in states/eV per atom: 2.43
Formation energy in kJ/mol of formula units: 32


PrYNi | PBE | optimized geometry

abc: 6.8694 6.8694 6.8694
angles: 90.00 90.00 90.00
With the nearest neighbours (Å) after each atom.
Space group F-43m (No. 216)
Symmetry-distinct sites (fractional):
Pr 0.0000 0.0000 0.0000 (multiplicity 4)  4 Ni 2.97
Y 0.0000 0.0000 0.5000 (multiplicity 4)  4 Ni 2.97
Ni 0.2500 0.2500 0.2500 (multiplicity 4)  4 Pr 2.97, 4 Y 2.97

Values from the calculation:
Magnetization in μB/atom: 0.000
DOS at the Fermi energy in states/eV per atom: 1.09
Excess energy over the best structure of this formula in the dataset in eV per atom: 0.160
Formation energy in kJ/mol of formula units: -22


PrY3Ni8 | PBE | optimized geometry

abc: 5.1083 5.1083 25.1051
angles: 90.00 90.00 120.00
With the nearest neighbours (Å) after each atom.
Space group R3m (No. 160, hexagonal axes)
Symmetry-distinct sites (fractional):
Pr 0.0000 0.0000 0.0000 (multiplicity 3)  12 Ni 3.00-3.04, 4 Y 3.14-3.15
Y 0.0000 0.0000 0.1253 (multiplicity 3)  12 Ni 2.96-2.99, 3 Y 3.12, 1 Pr 3.15
Y 0.0000 0.0000 0.4997 (multiplicity 3)  12 Ni 2.97-2.99, 4 Y 3.12
Y 0.0000 0.0000 0.6241 (multiplicity 3)  12 Ni 3.00-3.05, 1 Y 3.12, 3 Pr 3.14
Ni 0.0000 0.0000 0.3120 (multiplicity 3)  6 Ni 2.57-2.59
Ni 0.0000 0.0000 0.8125 (multiplicity 3)  6 Ni 2.54
Ni 0.0005 0.5002 0.0636 (multiplicity 9)  6 Ni 2.54-2.59
Ni 0.1680 0.3360 0.8946 (multiplicity 9)  6 Ni 2.53-2.57

Values from the calculation:
Magnetization in μB/atom: 0.000
DOS at the Fermi energy in states/eV per atom: 0.60
Formation energy in kJ/mol of formula units: -441


Pr2YNi9 | PBE | optimized geometry

abc: 5.0122 5.0122 24.9402
angles: 90.00 90.00 120.00
With the nearest neighbours (Å) after each atom.
Space group R-3m (No. 166, hexagonal axes)
Symmetry-distinct sites (fractional):
Pr 0.0000 0.0000 0.1378 (multiplicity 6)  12 Ni 2.90-3.24, 3 Pr 3.23
Y 0.0000 0.0000 0.0000 (multiplicity 3)  18 Ni 2.89-3.19
Ni 0.0000 0.0000 0.3328 (multiplicity 6)  6 Ni 2.44-2.46
Ni 0.0000 0.0000 0.5000 (multiplicity 3)  6 Ni 2.61
Ni 0.0011 0.5006 0.0794 (multiplicity 18)  7 Ni 2.44-2.61

Values from the calculation:
Magnetization in μB/atom: 0.080
DOS at the Fermi energy in states/eV per atom: 1.18
Formation energy in kJ/mol of formula units: -364


PrY2Ni | PBE | optimized geometry

abc: 6.9689 9.7409 6.4789
angles: 90.00 90.00 90.00
With the nearest neighbours (Å) after each atom.
Space group Pnma (No. 62)
Symmetry-distinct sites (fractional):
Pr 0.0319 0.2500 0.1423 (multiplicity 4)  2 Ni 2.82-2.93
Y 0.1742 0.0677 0.6772 (multiplicity 8)  2 Ni 2.77-2.85
Ni 0.1132 0.7500 0.4332 (multiplicity 4)  4 Y 2.77-2.85, 2 Pr 2.82-2.93

Values from the calculation:
Magnetization in μB/atom: 0.000
DOS at the Fermi energy in states/eV per atom: 1.13
Excess energy over the best structure of this formula in the dataset in eV per atom: 0.000
Formation energy in kJ/mol of formula units: -81


PrY2Ni | PBE | optimized geometry

abc: 3.7799 3.7799 28.2033
angles: 90.00 90.00 120.00
With the nearest neighbours (Å) after each atom.
Space group R-3m (No. 166, hexagonal axes)
Symmetry-distinct sites (fractional):
Pr 0.0000 0.0000 0.0000 (multiplicity 3)  6 Y 3.77, 6 Pr 3.78
Y 0.0000 0.0000 0.2245 (multiplicity 6)  3 Ni 2.72
Ni 0.0000 0.0000 0.5000 (multiplicity 3)  6 Y 2.72

Values from the calculation:
Magnetization in μB/atom: 0.000
DOS at the Fermi energy in states/eV per atom: 1.43
Excess energy over the best structure of this formula in the dataset in eV per atom: 0.123
Formation energy in kJ/mol of formula units: -33


PrYNi | PBE | optimized geometry

abc: 3.4773 6.8438 7.0600
angles: 106.62 90.07 104.67
With the nearest neighbours (Å) after each atom.
Space group P-1 (No. 2)
Symmetry-distinct sites (fractional):
Pr 0.1291 0.2575 0.0621 (multiplicity 2)  4 Ni 3.01-3.20, 1 Pr 3.26
Y 0.1310 0.2613 0.5617 (multiplicity 2)  4 Ni 2.84-2.87
Ni 0.4910 0.9859 0.2774 (multiplicity 2)  4 Y 2.84-2.87, 2 Pr 3.01-3.02, 1 Ni 3.09

Values from the calculation:
Magnetization in μB/atom: 0.000
DOS at the Fermi energy in states/eV per atom: 1.20
Excess energy over the best structure of this formula in the dataset in eV per atom: 0.066
Formation energy in kJ/mol of formula units: -49


Pr3Y3Ni4 | PBE | optimized geometry

abc: 3.8817 10.8077 11.1316
angles: 90.00 90.00 90.00
With the nearest neighbours (Å) after each atom.
Space group Amm2 (No. 38)
Symmetry-distinct sites (fractional):
Pr 0.0000 0.0000 0.0000 (multiplicity 2)  4 Ni 2.94
Pr 0.5000 0.2413 0.1121 (multiplicity 4)  3 Ni 2.94-3.19
Y 0.0000 0.0000 0.6774 (multiplicity 2)  6 Ni 2.95-2.99
Y 0.0000 0.1633 0.3619 (multiplicity 4)  6 Ni 2.90-3.05
Ni 0.5000 0.0000 0.2419 (multiplicity 2)  1 Ni 2.57
Ni 0.5000 0.0000 0.4732 (multiplicity 2)  1 Ni 2.57
Ni 0.5000 0.1198 0.8394 (multiplicity 4)  1 Ni 2.59

Values from the calculation:
Magnetization in μB/atom: 0.000
DOS at the Fermi energy in states/eV per atom: 0.93
Formation energy in kJ/mol of formula units: -230


Pr3YNi2 | PBE | optimized geometry

abc: 16.6446 3.9927 11.8167
angles: 90.00 124.23 90.00
With the nearest neighbours (Å) after each atom.
Space group C2/m (No. 12)
Symmetry-distinct sites (fractional):
Pr 0.0810 0.0000 0.4455 (multiplicity 4)  3 Ni 2.89-3.09
Pr 0.0833 0.0000 0.9378 (multiplicity 4)  3 Ni 2.87-2.97
Pr 0.1543 0.5000 0.2487 (multiplicity 4)  3 Ni 2.84-3.05
Y 0.1592 0.5000 0.7521 (multiplicity 4)  3 Ni 2.83-2.99
Ni 0.2331 0.5000 0.0486 (multiplicity 4)  2 Ni 2.52
Ni 0.2327 0.5000 0.5521 (multiplicity 4)  2 Ni 2.57, 2 Pr 2.84

Values from the calculation:
Magnetization in μB/atom: 0.000
DOS at the Fermi energy in states/eV per atom: 1.23
Formation energy in kJ/mol of formula units: -126


PrYNi10 | PBE | optimized geometry

abc: 3.9613 4.9399 8.5484
angles: 90.00 90.00 90.00
With the nearest neighbours (Å) after each atom.
Space group Pmmm (No. 47)
Symmetry-distinct sites (fractional):
Pr 0.0000 0.0000 0.0000 (multiplicity 1)  18 Ni 2.87-3.19
Y 0.0000 0.5000 0.5000 (multiplicity 1)  14 Ni 2.81-3.14
Ni 0.0000 0.0000 0.3372 (multiplicity 2)  6 Ni 2.42-2.45
Ni 0.0000 0.5000 0.1707 (multiplicity 2)  6 Ni 2.43-2.46
Ni 0.5000 0.0000 0.5000 (multiplicity 1)  8 Ni 2.42-2.44
Ni 0.5000 0.2521 0.2539 (multiplicity 4)  8 Ni 2.43-2.49
Ni 0.5000 0.5000 0.0000 (multiplicity 1)  8 Ni 2.46-2.49

Values from the calculation:
Magnetization in μB/atom: 0.238
DOS at the Fermi energy in states/eV per atom: 1.14
Formation energy in kJ/mol of formula units: -334


PrY2Ni | PBE | optimized geometry

abc: 3.4672 3.4672 8.9408
angles: 90.00 90.00 90.00
With the nearest neighbours (Å) after each atom.
Space group P4/mmm (No. 123)
Symmetry-distinct sites (fractional):
Pr 0.0000 0.0000 0.0000 (multiplicity 1)  4 Pr 3.47, 8 Y 3.76
Y 0.5000 0.5000 0.3190 (multiplicity 2)  4 Ni 2.94, 1 Y 3.24
Ni 0.0000 0.0000 0.5000 (multiplicity 1)  8 Y 2.94

Values from the calculation:
Magnetization in μB/atom: 0.000
DOS at the Fermi energy in states/eV per atom: 0.97
Excess energy over the best structure of this formula in the dataset in eV per atom: 0.042
Formation energy in kJ/mol of formula units: -64